{"formula": "Li2ThCuO4", "functional": "GGA-PBE", "state": "optimized geometry", "final_energy_ev_per_atom": -6.46, "crystal_system": "orthorhombic", "total_magnetization_mub_per_cell": 2.02, "formation_energy_uncorrected_ev_per_atom": -2.0620, "lattice": [[1.738, -5.757, 0.000], [1.738, 5.757, 0.000], [0.000, 0.000, 9.552]], "species": ["Li", "Li", "Li", "Li", "Th", "Th", "Cu", "Cu", "O", "O", "O", "O", "O", "O", "O", "O"], "fractional_positions": [[0.100, 0.900, 0.545], [0.100, 0.900, 0.955], [0.900, 0.100, 0.045], [0.900, 0.100, 0.455], [0.425, 0.575, 0.750], [0.575, 0.425, 0.250], [0.306, 0.694, 0.250], [0.694, 0.306, 0.750], [0.080, 0.920, 0.750], [0.178, 0.822, 0.125], [0.178, 0.822, 0.375], [0.500, 0.500, 0.000], [0.500, 0.500, 0.500], [0.822, 0.178, 0.625], [0.822, 0.178, 0.875], [0.920, 0.080, 0.250]]}

---

{"formula": "Li2TiCuO4", "functional": "GGA-PBE", "state": "optimized geometry", "final_energy_ev_per_atom": -6.49, "crystal_system": "orthorhombic", "total_magnetization_mub_per_cell": 2.01, "formation_energy_uncorrected_ev_per_atom": -2.0297, "lattice": [[-2.853, 2.890, 4.666], [2.853, -2.890, 4.666], [2.853, 2.890, -4.666]], "species": ["Li", "Li", "Li", "Li", "Ti", "Ti", "Cu", "Cu", "O", "O", "O", "O", "O", "O", "O", "O"], "fractional_positions": [[0.000, 0.000, 0.000], [0.500, 0.000, 0.000], [0.500, 0.000, 0.500], [0.500, 0.500, 0.500], [0.000, 0.500, 0.500], [0.500, 0.500, 0.000], [0.000, 0.000, 0.500], [0.000, 0.500, 0.000], [0.199, 0.716, 0.483], [0.266, 0.280, 0.514], [0.266, 0.752, 0.986], [0.267, 0.284, 0.983], [0.733, 0.716, 0.017], [0.734, 0.248, 0.014], [0.734, 0.720, 0.486], [0.801, 0.284, 0.517]]}

---

{"formula": "Li2TiCuO4", "functional": "GGA-PBE", "state": "optimized geometry", "final_energy_ev_per_atom": -6.48, "crystal_system": "tetragonal", "total_magnetization_mub_per_cell": 0.00, "formation_energy_uncorrected_ev_per_atom": -2.0237, "lattice": [[-1.993, 1.993, 4.643], [1.993, -1.993, 4.643], [1.993, 1.993, -4.643]], "species": ["Li", "Li", "Ti", "Cu", "O", "O", "O", "O"], "fractional_positions": [[0.000, 0.000, 0.000], [0.750, 0.250, 0.500], [0.250, 0.750, 0.500], [0.500, 0.500, 0.000], [0.034, 0.534, 0.500], [0.245, 0.245, 0.000], [0.466, 0.966, 0.500], [0.755, 0.755, 0.000]]}

---

{"formula": "Li2TiCuO4", "functional": "GGA-PBE", "state": "optimized geometry", "final_energy_ev_per_atom": -6.47, "crystal_system": "tetragonal", "total_magnetization_mub_per_cell": 1.01, "formation_energy_uncorrected_ev_per_atom": -2.0129, "lattice": [[-2.257, 2.257, 4.494], [2.257, -2.257, 4.494], [2.257, 2.257, -4.494]], "species": ["Li", "Li", "Ti", "Cu", "O", "O", "O", "O"], "fractional_positions": [[0.000, 0.000, 0.000], [0.750, 0.250, 0.500], [0.500, 0.500, 0.000], [0.250, 0.750, 0.500], [0.150, 0.143, 0.530], [0.380, 0.850, 0.993], [0.613, 0.620, 0.470], [0.857, 0.387, 0.007]]}

---

{"formula": "LiTi2CuO", "functional": "GGA-PBE", "state": "optimized geometry", "final_energy_ev_per_atom": -6.38, "crystal_system": "tetragonal", "total_magnetization_mub_per_cell": 0.00, "formation_energy_uncorrected_ev_per_atom": -1.0239, "lattice": [[4.081, 0.000, 0.000], [0.000, 4.081, 0.000], [0.000, 0.000, 3.765]], "species": ["Li", "Ti", "Ti", "Cu", "O"], "fractional_positions": [[0.000, 0.000, 0.000], [0.000, 0.500, 0.500], [0.500, 0.000, 0.500], [0.500, 0.500, 0.000], [0.000, 0.000, 0.500]]}

---

{"formula": "Li2TiCuO4", "functional": "GGA-PBE", "state": "optimized geometry", "final_energy_ev_per_atom": -6.49, "crystal_system": "monoclinic", "total_magnetization_mub_per_cell": 0.98, "formation_energy_uncorrected_ev_per_atom": -2.0347, "lattice": [[5.405, 0.000, 0.000], [0.000, 2.885, 0.000], [-2.658, 0.000, 4.968]], "species": ["Li", "Li", "Ti", "Cu", "O", "O", "O", "O"], "fractional_positions": [[0.000, 0.000, 0.000], [0.000, 0.500, 0.500], [0.500, 0.000, 0.500], [0.500, 0.500, 0.000], [0.241, 0.500, 0.286], [0.311, 0.000, 0.735], [0.689, 0.000, 0.265], [0.759, 0.500, 0.714]]}

---

{"formula": "Li5Ti2Cu5O12", "functional": "GGA-PBE", "state": "optimized geometry", "final_energy_ev_per_atom": -5.99, "crystal_system": "monoclinic", "total_magnetization_mub_per_cell": 0.00, "formation_energy_uncorrected_ev_per_atom": -1.5992, "lattice": [[2.793, -4.247, 0.000], [2.793, 4.247, 0.000], [-0.105, 0.000, 9.732]], "species": ["Li", "Li", "Li", "Li", "Li", "Ti", "Ti", "Cu", "Cu", "Cu", "Cu", "Cu", "O", "O", "O", "O", "O", "O", "O", "O", "O", "O", "O", "O"], "fractional_positions": [[0.000, 0.000, 0.000], [0.053, 0.405, 0.242], [0.249, 0.265, 0.758], [0.595, 0.947, 0.758], [0.735, 0.751, 0.242], [0.158, 0.842, 0.500], [0.670, 0.330, 0.000], [0.325, 0.675, 0.000], [0.394, 0.085, 0.246], [0.489, 0.511, 0.500], [0.826, 0.174, 0.500], [0.915, 0.606, 0.754], [0.096, 0.101, 0.369], [0.218, 0.575, 0.626], [0.342, 0.006, 0.902], [0.386, 0.400, 0.123], [0.425, 0.782, 0.374], [0.487, 0.174, 0.597], [0.600, 0.614, 0.877], [0.705, 0.076, 0.135], [0.826, 0.513, 0.403], [0.899, 0.904, 0.631], [0.924, 0.295, 0.865], [0.994, 0.658, 0.098]]}